No. 1
A relaxed structure of TaAlFeOs, computed with GGA-PBE.

Structure (POSCAR):
```
TaAlFeOs
1.0
6.094 0.000 0.000
0.000 6.094 0.000
0.000 0.000 6.094
Ta Al Fe Os
4 4 4 4
Cartesian
0.000 0.000 0.000
0.000 3.047 3.047
3.047 0.000 3.047
3.047 3.047 0.000
0.000 0.000 3.047
0.000 3.047 0.000
3.047 0.000 0.000
3.047 3.047 3.047
1.524 1.524 4.571
1.524 4.571 1.524
4.571 1.524 1.524
4.571 4.571 4.571
1.524 1.524 1.524
1.524 4.571 4.571
4.571 1.524 4.571
4.571 4.571 1.524
```

Results
Total energy   -9.3117 eV per atom
Formation energy from the elements   -0.49 eV/atom



No. 2
A relaxed structure of Ca2ScIn, computed with GGA-PBE.

Structure (POSCAR):
```
Ca2ScIn
1.0
3.807 0.000 0.000
0.000 5.560 0.000
0.000 0.000 11.581
Ca Sc In
4 2 2
Cartesian
0.000 0.000 0.000
0.000 2.780 2.474
1.903 0.000 8.264
1.903 2.780 5.790
0.000 0.000 5.016
1.903 2.780 10.806
0.000 2.780 8.484
1.903 0.000 2.693
```

Results
Total energy   -3.4039 eV per atom
Formation energy from the elements   -0.14 eV/atom



No. 3
A relaxed structure of Tb3Nd2Sc3, computed with GGA-PBE.

Structure (POSCAR):
```
Tb3Nd2Sc3
1.0
3.083 1.780 7.596
-3.083 1.780 7.596
0.000 -3.560 7.596
Tb Nd Sc
3 2 3
Cartesian
0.000 0.000 0.000
0.000 0.000 9.775
0.000 0.000 13.012
0.000 0.000 6.644
0.000 0.000 16.143
-3.083 0.000 11.394
-1.541 0.890 3.798
1.541 0.890 3.798
```

Results
Total energy   -5.0473 eV per atom
Formation energy from the elements   0.26 eV/atom
Relative energy among the computed polymorphs   219 meV/atom



No. 4
A relaxed structure of LiSmLuBe, computed with GGA-PBE.

Structure (POSCAR):
```
LiSmLuBe
1.0
7.048 0.000 0.000
0.000 7.048 0.000
0.000 0.000 7.048
Li Sm Lu Be
4 4 4 4
Cartesian
0.000 0.000 0.000
0.000 3.524 3.524
3.524 0.000 3.524
3.524 3.524 0.000
1.762 1.762 5.286
1.762 5.286 1.762
5.286 1.762 1.762
5.286 5.286 5.286
1.762 1.762 1.762
1.762 5.286 5.286
5.286 1.762 5.286
5.286 5.286 1.762
0.000 0.000 3.524
0.000 3.524 0.000
3.524 0.000 0.000
3.524 3.524 3.524
```

Results
Total energy   -3.5781 eV per atom
Formation energy from the elements   0.14 eV/atom



No. 5
A relaxed structure of CaTbAg, computed with GGA-PBE.

Structure (POSCAR):
```
CaTbAg
1.0
7.212 0.000 0.000
0.000 7.212 0.000
0.000 0.000 7.212
Ca Tb Ag
4 4 4
Cartesian
0.000 0.000 0.000
0.000 3.606 3.606
3.606 0.000 3.606
3.606 3.606 0.000
0.000 0.000 3.606
0.000 3.606 0.000
3.606 0.000 0.000
3.606 3.606 3.606
1.803 1.803 5.409
1.803 5.409 1.803
5.409 1.803 1.803
5.409 5.409 5.409
```

Results
Total energy   -3.1478 eV per atom
Formation energy from the elements   0.01 eV/atom
Relative energy among the computed polymorphs   172 meV/atom



No. 6
A relaxed structure of CoRe2Ni, computed with GGA-PBE.

Structure (POSCAR):
```
CoRe2Ni
1.0
2.669 0.000 0.000
0.000 2.669 0.000
0.000 0.000 7.285
Co Re Ni
1 2 1
Cartesian
0.000 0.000 0.000
0.000 0.000 3.468
1.335 1.335 5.644
1.335 1.335 1.754
```

Results
Total energy   -9.3630 eV per atom
Formation energy from the elements   0.08 eV/atom
Relative energy among the computed polymorphs   129 meV/atom



No. 7
A relaxed structure of KOs2, computed with GGA-PBE.

Structure (POSCAR):
```
KOs2
1.0
4.559 0.000 0.000
0.000 4.559 0.000
0.000 0.000 13.607
K Os
4 8
Cartesian
0.000 1.140 5.103
0.000 3.420 8.504
2.280 1.140 1.701
2.280 3.420 11.906
0.000 1.140 10.735
0.000 1.140 13.078
0.000 3.420 0.529
0.000 3.420 2.873
2.280 1.140 7.333
2.280 1.140 9.676
2.280 3.420 3.931
2.280 3.420 6.274
```

Results
Total energy   -6.4853 eV per atom
Formation energy from the elements   1.37 eV/atom
Relative energy among the computed polymorphs   591 meV/atom



No. 8
A relaxed structure of Na3MnI, computed with GGA-PBE.

Structure (POSCAR):
```
Na3MnI
1.0
5.889 0.000 0.000
0.000 5.889 0.000
0.000 0.000 5.889
Na Mn I
3 1 1
Cartesian
0.000 0.000 2.944
0.000 2.944 0.000
2.944 0.000 0.000
0.000 0.000 0.000
2.944 2.944 2.944
```

Results
Total energy   -2.5653 eV per atom
Uncorrected formation energy   370 meV per atom
Relative energy among the computed polymorphs   93 meV/atom



> Number 2 is which compound?

Ca2ScIn



Please write out number 3 again, unchanged.
A relaxed structure of Tb3Nd2Sc3, computed with GGA-PBE.

Structure (POSCAR):
```
Tb3Nd2Sc3
1.0
3.083 1.780 7.596
-3.083 1.780 7.596
0.000 -3.560 7.596
Tb Nd Sc
3 2 3
Cartesian
0.000 0.000 0.000
0.000 0.000 9.775
0.000 0.000 13.012
0.000 0.000 6.644
0.000 0.000 16.143
-3.083 0.000 11.394
-1.541 0.890 3.798
1.541 0.890 3.798
```

Results
Total energy   -5.0473 eV per atom
Formation energy from the elements   0.26 eV/atom
Relative energy among the computed polymorphs   219 meV/atom



> Which of these has the highest total energy?

Na3MnI



> Among the records above, which one has the highest total energy?

Na3MnI